--- A ---
A plane-wave DFT calculation with GGA-PBEsol was carried out for crystalline ZrCo2Br at its relaxed geometry.

```
data_ZrCo2Br
_chemical_formula_sum 'Zr4 Co8 Br4'
_cell_length_a 6.165
_cell_length_b 6.165
_cell_length_c 6.165
_cell_angle_alpha 90.00
_cell_angle_beta 90.00
_cell_angle_gamma 90.00
_symmetry_space_group_name_H-M 'F m -3 m'
_symmetry_Int_Tables_number 225
_symmetry_space_group_name_Hall '-F 4 2 3'
loop_
_atom_site_label
_atom_site_fract_x
_atom_site_fract_y
_atom_site_fract_z
_atom_site_occupancy
Zr1 0.000 0.000 0.000 1
Co1 0.250 0.250 0.250 1
Br1 0.000 0.000 0.500 1
```

D(E_F) ... 21.38 states/eV/cell


--- B ---
A plane-wave DFT calculation with GGA-PBEsol was carried out for crystalline ZrCo2Br at its relaxed geometry.

```
data_ZrCo2Br
_chemical_formula_sum 'Zr1 Co2 Br1'
_cell_length_a 3.304
_cell_length_b 3.392
_cell_length_c 5.994
_cell_angle_alpha 90.00
_cell_angle_beta 90.14
_cell_angle_gamma 90.00
_symmetry_space_group_name_H-M 'P 1 2/m 1'
_symmetry_Int_Tables_number 10
loop_
_symmetry_equiv_pos_as_xyz
'x,y,z'
'-x,-y,-z'
'-x,y,-z'
'x,-y,z'
loop_
_atom_site_label
_atom_site_fract_x
_atom_site_fract_y
_atom_site_fract_z
_atom_site_occupancy
Zr1 0.000 0.000 0.000 1
Co1 0.499 0.500 0.806 1
Br1 0.500 0.000 0.500 1
```

D(E_F) ... 4.52 states/eV/cell


Energy comparison, zero being the most stable, in kJ/mol of atoms: A 38.0; B 0.0.